[1]
TbCe2AgN: relaxed, GGA-PBE.

Geometry as POSCAR:
```
TbCe2AgN
1.0
4.8625 0.0000 0.0000
0.0000 4.8625 0.0000
0.0000 0.0002 4.8629
Tb Ce Ag N
1 2 1 1
Cartesian
0.0000 4.8625 2.4313
0.0000 2.4312 0.0001
2.4312 4.8625 4.8627
2.4312 2.4315 2.4320
0.0000 0.0002 4.8627
```

## Properties
SG = P4/mmm (123)
uncorrected formation energy = -0.60 eV per atom

[2]
Ce2YAgN: relaxed, GGA-PBE.

Geometry as POSCAR:
```
Ce2YAgN
1.0
-1.3653 2.5710 -3.9061
-4.3729 -2.1436 0.1176
-1.6472 3.5184 2.8915
Ce Y Ag N
2 1 1 1
Cartesian
-3.8336 2.4465 2.9502
-6.7026 2.6603 1.0560
-5.1964 -0.3845 1.5632
-3.6931 1.9733 -0.4481
-1.6472 3.5182 2.8914
```

## Properties
SG = P4/mmm (123)
uncorrected formation energy = -0.60 eV per atom

[3]
Na2CeAg9: relaxed, GGA-PBE.

Geometry as POSCAR:
```
Na2CeAg9
1.0
5.3841 0.0000 1.6024
2.4536 4.7925 1.6024
-0.0397 -0.0243 9.9798
Na Ce Ag
2 1 9
Cartesian
6.6812 4.0853 7.0906
1.1168 0.6829 6.0940
0.0000 0.0000 0.0000
5.1907 3.1739 12.0988
2.6073 1.5943 1.0858
3.8990 2.3841 6.5923
3.2509 1.9878 3.8369
5.9483 1.9878 4.6396
4.4801 4.3888 4.6396
4.5471 2.7804 9.3477
3.3179 0.3794 8.5449
1.8497 2.7804 8.5449
```

## Properties
SG = R-3m (166)
ΔE_f = -0.06 eV per atom

[4]
NaCe2Ag6: relaxed, GGA-PBE.

Geometry as POSCAR:
```
NaCe2Ag6
1.0
-0.1673 -3.1097 0.1397
7.8630 -0.5784 -3.3957
6.8875 -0.1434 5.1219
Na Ce Ag
1 2 6
Cartesian
0.0000 0.0000 0.0000
4.9166 -0.2406 0.5754
9.8338 -0.4812 1.1508
12.0695 -2.0842 2.9176
2.1914 -1.6036 1.7618
2.5136 -1.7473 -1.0518
7.4571 -1.9896 -0.5122
12.3917 -2.2279 0.1041
7.1261 -1.8420 2.3780
```

## Properties
SG = P6/mmm (191)
ΔE_f = -0.08 eV per atom

Number 1: spin magnetization 1.51 μB per cell, mass density 8.1 g/cm3. Number 2: spin magnetization 1.58 μB per cell, mass density 7.1 g/cm3. Number 3: spin magnetization 1.26 μB per cell, mass density 7.4 g/cm3. Number 4: spin magnetization 2.84 μB per cell, mass density 7.9 g/cm3.